# 1
## CdMo4Os (PBE)

Data for a relaxed CdMo4Os crystal.

a = 5.2144 Å, b = 5.2144 Å, c = 5.2144 Å
α = 60.00°, β = 60.00°, γ = 60.00°
Positions (direct):
1 Cd 0.0000 0.0000 0.0000
2 Mo 0.1217 0.6261 0.6261
3 Mo 0.6261 0.1217 0.6261
4 Mo 0.6261 0.6261 0.1217
5 Mo 0.6261 0.6261 0.6261
6 Os 0.2500 0.2500 0.2500

Calculated values
* space-group type: No. 216
* calculated formation energy: 0.47 eV per atom
* volume: 16.7 A^3/atom



# 2
## CdMoOs (PBE)

Data for a relaxed CdMoOs crystal.

a = 2.9994 Å, b = 2.9994 Å, c = 11.5140 Å
α = 90.00°, β = 90.00°, γ = 90.00°
Positions (direct):
1 Cd 0.0000 0.0000 0.0000
2 Cd 0.5000 0.5000 0.5000
3 Mo 0.0000 0.0000 0.6913
4 Mo 0.5000 0.5000 0.1913
5 Os 0.0000 0.0000 0.3164
6 Os 0.5000 0.5000 0.8164

Calculated values
* space-group type: No. 107
* energy above the lowest structure with this stoichiometry: 0.012 eV per atom
* calculated formation energy: 0.28 eV per atom
* volume: 17.3 A^3/atom



# 3
## CdMoOs (PBE)

Data for a relaxed CdMoOs crystal.

a = 6.1571 Å, b = 6.1571 Å, c = 6.1571 Å
α = 90.00°, β = 90.00°, γ = 90.00°
Positions (direct):
1 Cd 0.0000 0.0000 0.0000
2 Cd 0.0000 0.5000 0.5000
3 Cd 0.5000 0.0000 0.5000
4 Cd 0.5000 0.5000 0.0000
5 Mo 0.0000 0.0000 0.5000
6 Mo 0.0000 0.5000 0.0000
7 Mo 0.5000 0.0000 0.0000
8 Mo 0.5000 0.5000 0.5000
9 Os 0.2500 0.2500 0.7500
10 Os 0.2500 0.7500 0.2500
11 Os 0.7500 0.2500 0.2500
12 Os 0.7500 0.7500 0.7500

Calculated values
* space-group type: No. 216
* energy above the lowest structure with this stoichiometry: 0.513 eV per atom
* calculated formation energy: 0.78 eV per atom
* volume: 19.5 A^3/atom